a | DFT (SCAN) results for Mo2AuCl at its PBEsol-relaxed geometry.

Properties
DOS(E_F) (states/eV/f.u.): 2.5
Total magnetic moment (μB per cell): 0.0
Volume (Å³/cell): 68
SG: Cmm2

Cell lengths 2.8458, 2.8458, 8.9752 Å; angles 90.00, 90.00, 111.23 degrees
Sites, in units of the cell vectors:
Mo  0.0000  0.0000  0.9922
Mo  0.5000  0.5000  0.7740
Au  0.0000  0.0000  0.5209
Cl  0.5000  0.5000  0.2129

=====

b | DFT (SCAN) results for Mo2AuCl at its PBEsol-relaxed geometry.

Properties
DOS(E_F) (states/eV/f.u.): 3.4
Total magnetic moment (μB per cell): 0.0
Volume (Å³/cell): 66
SG: R3m

Cell lengths 2.8586, 2.8586, 9.4679 Å; angles 81.32, 81.32, 60.00 degrees
Sites, in units of the cell vectors:
Mo  0.9955  0.9955  0.0135
Mo  0.7455  0.7455  0.7634
Au  0.4945  0.4945  0.5166
Cl  0.2645  0.2645  0.2064

=====

c | DFT (SCAN) results for Mo2AuCl at its PBEsol-relaxed geometry.

Properties
DOS(E_F) (states/eV/f.u.): 3.0
Total magnetic moment (μB per cell): 0.0
Volume (Å³/cell): 63
SG: Pmmm

Cell lengths 2.7309, 3.9291, 5.8659 Å; angles 90.00, 90.00, 90.00 degrees
Sites, in units of the cell vectors:
Mo  0.0000  0.0000  0.2582
Mo  0.0000  0.0000  0.7418
Cl  0.0000  0.5000  0.5000
Au  0.5000  0.5000  0.0000

=====

Most stable: a

=====

a | DFT (SCAN) results for NaAuCl2 at its PBEsol-relaxed geometry.

Properties
DOS(E_F) (states/eV/f.u.): 0.0
Total magnetic moment (μB per cell): 0.0
Volume (Å³/cell): 109
SG: R-3m

Cell lengths 4.1564, 4.1564, 7.6543 Å; angles 74.25, 74.25, 60.00 degrees
Sites, in units of the cell vectors:
Au  0.0000  0.0000  0.0000
Cl  0.1034  0.1034  0.6897
Cl  0.8966  0.8966  0.3103
Na  0.5000  0.5000  0.5000

=====

b | DFT (SCAN) results for NaAuCl2 at its PBEsol-relaxed geometry.

Properties
Total magnetic moment (μB per cell): 0.0
Volume (Å³/cell): 209
SG: I-42d

Cell lengths 5.5166, 5.5166, 7.9103 Å; angles 110.41, 110.41, 90.00 degrees
Sites, in units of the cell vectors:
Na  0.5000  0.5000  0.0000
Na  0.7500  0.2500  0.5000
Cl  0.1250  0.1001  0.7500
Cl  0.3501  0.8750  0.2500
Cl  0.8999  0.3750  0.2500
Cl  0.6250  0.6499  0.7500
Au  0.2500  0.7500  0.5000
Au  0.0000  0.0000  0.0000

=====

Most stable: a

=====

a | DFT (SCAN) results for Ni2AuCl at its PBEsol-relaxed geometry.

Properties
DOS(E_F) (states/eV/f.u.): 4.1
Total magnetic moment (μB per cell): 1.7
Volume (Å³/cell): 54
SG: P4/mmm

Cell lengths 2.8863, 2.8863, 6.4455 Å; angles 90.00, 90.00, 90.00 degrees
Site moments in Bohr magnetons follow the coordinates.
Sites, in units of the cell vectors:
Au  0.5000  0.5000  0.0000  0.03
Ni  0.0000  0.0000  0.7344  0.81
Ni  0.0000  0.0000  0.2656  0.81
Cl  0.5000  0.5000  0.5000  0.14

=====

b | DFT (SCAN) results for Ni2AuCl at its PBEsol-relaxed geometry.

Properties
DOS(E_F) (states/eV/f.u.): 1.9
Total magnetic moment (μB per cell): 1.9
Volume (Å³/cell): 59
SG: R3m

Cell lengths 2.8871, 2.8871, 8.2993 Å; angles 79.98, 79.98, 60.00 degrees
Site moments in Bohr magnetons follow the coordinates.
Sites, in units of the cell vectors:
Ni  0.0017  0.0017  0.9950  1.09
Ni  0.7377  0.7377  0.7868  0.73
Au  0.4882  0.4882  0.5355  0.00
Cl  0.2724  0.2724  0.1828  0.14

=====

c | DFT (SCAN) results for Ni2AuCl at its PBEsol-relaxed geometry.

Properties
DOS(E_F) (states/eV/f.u.): 2.2
Total magnetic moment (μB per cell): 1.9
Volume (Å³/cell): 61
SG: Pmmm

Cell lengths 2.9103, 3.4193, 6.1399 Å; angles 90.05, 90.00, 90.00 degrees
Site moments in Bohr magnetons follow the coordinates.
Sites, in units of the cell vectors:
Ni  0.0000  0.5004  0.2097  0.93
Ni  0.0000  0.4996  0.7903  0.93
Au  0.5000  0.0000  0.0000  0.02
Cl  0.5000  0.5000  0.5000  0.08

=====

d | DFT (SCAN) results for Ni2AuCl at its PBEsol-relaxed geometry.

Properties
DOS(E_F) (states/eV/f.u.): 2.1
Total magnetic moment (μB per cell): 2.1
Volume (Å³/cell): 62
SG: Imm2

Cell lengths 2.8304, 4.1279, 5.9000 Å; angles 110.48, 103.88, 90.00 degrees
Site moments in Bohr magnetons follow the coordinates.
Sites, in units of the cell vectors:
Ni  0.9804  0.9804  0.9608  0.89
Ni  0.6707  0.1707  0.3414  1.11
Cl  0.3098  0.8098  0.6196  0.09
Au  0.5391  0.5391  0.0783  0.01

=====

Most stable: c

=====

a | DFT (SCAN) results for PAuCl2 at its PBEsol-relaxed geometry.

Properties
DOS(E_F) (states/eV/f.u.): 2.1
Total magnetic moment (μB per cell): 0.0
Volume (Å³/cell): 78
SG: Cmmm

Cell lengths 2.9884, 5.1161, 5.1161 Å; angles 90.24, 90.00, 90.00 degrees
Sites, in units of the cell vectors:
Cl  0.0000  0.5000  0.0000
Cl  0.0000  0.0000  0.5000
P  0.0000  0.0000  0.0000
Au  0.0000  0.5000  0.5000

=====

b | DFT (SCAN) results for PAuCl2 at its PBEsol-relaxed geometry.

Properties
DOS(E_F) (states/eV/f.u.): 1.5
Total magnetic moment (μB per cell): 0.7
Volume (Å³/cell): 74
SG: Pmmm

Cell lengths 3.0097, 4.2160, 5.7985 Å; angles 90.00, 90.00, 90.00 degrees
Site moments in Bohr magnetons follow the coordinates.
Sites, in units of the cell vectors:
Au  0.0000  0.5000  0.5000  0.10
Cl  0.0000  0.0000  0.0000  0.01
Cl  0.5000  0.0000  0.5000  0.07
P  0.5000  0.5000  0.0000  0.24

=====

Most stable: a

=====

a | DFT (SCAN) results for PbAuCl2 at its PBEsol-relaxed geometry.

Properties
DOS(E_F) (states/eV/f.u.): 1.4
Total magnetic moment (μB per cell): 0.0
Volume (Å³/cell): 88
SG: Pmmm

Cell lengths 3.8438, 4.2503, 5.4072 Å; angles 90.00, 90.00, 90.00 degrees
Sites, in units of the cell vectors:
Pb  0.5000  0.5000  0.0000
Cl  0.0000  0.0000  0.0000
Cl  0.5000  0.0000  0.5000
Au  0.0000  0.5000  0.5000

=====

b | DFT (SCAN) results for PbAuCl2 at its PBEsol-relaxed geometry.

Properties
DOS(E_F) (states/eV/f.u.): 2.0
Total magnetic moment (μB per cell): 0.0
Volume (Å³/cell): 93
SG: P4mm

Cell lengths 3.4961, 3.4961, 7.5766 Å; angles 90.00, 90.00, 90.00 degrees
Sites, in units of the cell vectors:
Pb  0.0000  0.0000  0.5202
Au  0.5000  0.5000  0.7566
Cl  0.0000  0.0000  0.9319
Cl  0.5000  0.5000  0.2913

=====

c | DFT (SCAN) results for PbAuCl2 at its PBEsol-relaxed geometry.

Properties
DOS(E_F) (states/eV/f.u.): 1.8
Total magnetic moment (μB per cell): 0.0
Volume (Å³/cell): 88
SG: Fm-3m

Cell lengths 4.9933, 4.9933, 4.9933 Å; angles 60.00, 60.00, 60.00 degrees
Sites, in units of the cell vectors:
Au  0.0000  0.0000  0.0000
Pb  0.5000  0.5000  0.5000
Cl  0.2500  0.2500  0.2500
Cl  0.7500  0.7500  0.7500

=====

Most stable: b

=====

a | DFT (SCAN) results for RhAu2Cl at its PBEsol-relaxed geometry.

Properties
DOS(E_F) (states/eV/f.u.): 2.0
Total magnetic moment (μB per cell): 0.0
Volume (Å³/cell): 67
SG: P4/mmm

Cell lengths 3.7437, 3.7437, 4.7978 Å; angles 90.00, 90.00, 90.00 degrees
Sites, in units of the cell vectors:
Cl  0.5000  0.5000  0.5000
Au  0.5000  0.0000  0.0000
Au  0.0000  0.5000  0.0000
Rh  0.0000  0.0000  0.5000

=====

b | DFT (SCAN) results for RhAu2Cl at its PBEsol-relaxed geometry.

Properties
DOS(E_F) (states/eV/f.u.): 3.3
Total magnetic moment (μB per cell): 1.4
Volume (Å³/cell): 66
SG: F-43m

Cell lengths 4.5391, 4.5396, 4.5391 Å; angles 60.00, 90.00, 120.00 degrees
Site moments in Bohr magnetons follow the coordinates.
Sites, in units of the cell vectors:
Rh  0.7500  0.5000  0.7500  1.22
Au  0.0000  0.0000  0.0000  0.12
Au  0.2500  0.5000  0.2500  0.03
Cl  0.5000  0.0000  0.5000  0.11

=====

Most stable: a

=====

a | DFT (SCAN) results for Ru2AuCl at its PBEsol-relaxed geometry.

Properties
DOS(E_F) (states/eV/f.u.): 4.4
Total magnetic moment (μB per cell): 2.1
Volume (Å³/cell): 61
SG: Pmmm

Cell lengths 2.7398, 4.5414, 4.9075 Å; angles 90.00, 90.00, 90.00 degrees
Site moments in Bohr magnetons follow the coordinates.
Sites, in units of the cell vectors:
Ru  0.0000  0.0000  0.0000  1.07
Ru  0.5000  0.0000  0.5000  0.92
Cl  0.0000  0.5000  0.5000  0.03
Au  0.5000  0.5000  0.0000  0.09

=====

b | DFT (SCAN) results for Ru2AuCl at its PBEsol-relaxed geometry.

Properties
DOS(E_F) (states/eV/f.u.): 3.5
Total magnetic moment (μB per cell): 1.7
Volume (Å³/cell): 63
SG: Cmm2

Cell lengths 2.7669, 2.7954, 9.3251 Å; angles 90.00, 90.00, 119.66 degrees
Site moments in Bohr magnetons follow the coordinates.
Sites, in units of the cell vectors:
Ru  0.5000  0.0000  0.2259  0.94
Ru  0.0000  0.0000  0.0000  0.63
Au  0.0000  0.0000  0.4875  0.02
Cl  0.5000  0.0000  0.7866  0.04

=====

Most stable: b

=====

a | DFT (SCAN) results for SbAu2Cl at its PBEsol-relaxed geometry.

Properties
DOS(E_F) (states/eV/f.u.): 0.9
Total magnetic moment (μB per cell): 0.0
Volume (Å³/cell): 80
SG: Fm-3m

Cell lengths 4.8335, 4.8335, 4.8335 Å; angles 60.00, 60.00, 60.00 degrees
Sites, in units of the cell vectors:
Au  0.7500  0.7500  0.7500
Au  0.2500  0.2500  0.2500
Cl  0.0000  0.0000  0.0000
Sb  0.5000  0.5000  0.5000

=====

b | DFT (SCAN) results for SbAu2Cl at its PBEsol-relaxed geometry.

Properties
DOS(E_F) (states/eV/f.u.): 1.1
Total magnetic moment (μB per cell): 0.0
Volume (Å³/cell): 80
SG: Pmmm

Cell lengths 3.0217, 4.7425, 5.5685 Å; angles 90.00, 90.00, 90.00 degrees
Sites, in units of the cell vectors:
Cl  0.5000  0.0000  0.5000
Au  0.0000  0.0000  0.0000
Au  0.5000  0.5000  0.0000
Sb  0.0000  0.5000  0.5000

=====

Most stable: b